No. 1
A plane-wave DFT calculation with PBE was carried out for an optimized crystal structure of HfSb2Pd.

It has space group P4/mmm (No. 123), with a = 4.748 Å, b = 4.748 Å, c = 3.679 Å, α = 90.00°, β = 90.00° and γ = 90.00°. The asymmetric unit holds Hf at (0.000, 0.000, 0.000), Sb at (0.000, 0.500, 0.500) and Pd at (0.500, 0.500, 0.000).

As for the formation energy without anion corrections: -0.367 eV/atom.


No. 2
A plane-wave DFT calculation with PBE was carried out for an optimized crystal structure of Hf2Sb4Pd.

It has space group C2/m (No. 12), with a = 14.594 Å, b = 3.936 Å, c = 6.634 Å, α = 90.00°, β = 116.10° and γ = 90.00°. The asymmetric unit holds Hf at (0.248, 0.000, 0.263), Sb at (0.103, 0.000, 0.459), Sb at (0.113, 0.500, 0.939) and Pd at (0.000, 0.000, 0.000).

As for the formation energy without anion corrections: -0.323 eV/atom.


No. 3
A plane-wave DFT calculation with PBE was carried out for an optimized crystal structure of Hf2SbPd.

It has space group P2_1/m (No. 11), with a = 5.633 Å, b = 4.004 Å, c = 7.895 Å, α = 90.00°, β = 110.17° and γ = 90.00°. The asymmetric unit holds Hf at (0.190, 0.250, 0.416), Hf at (0.257, 0.750, 0.068), Sb at (0.382, 0.750, 0.704) and Pd at (0.134, 0.250, 0.808).

As for the formation energy without anion corrections: -0.543 eV/atom.